1.
Entry from the Alexandria database: Dy6Tl5O after structural relaxation (GGA-PBE).

Lattice parameters (Å, degrees): 6.7456 8.3304 7.1351 54.28 81.94 76.10
Last column: nearest neighbours and their distance in Å.
Sites, in units of the cell vectors:
Dy: 0.8141 0.0434 0.2896  1 O 2.43
Dy: 0.1859 0.6670 0.2896  1 O 2.43
Dy: 0.2981 0.1775 0.0000  1 O 2.77
Dy: 0.7019 0.8225 0.0000  1 O 2.77
Dy: 0.8141 0.3330 0.7104  1 O 2.43
Dy: 0.1859 0.9566 0.7104  1 O 2.43
Tl: 0.5000 0.2316 0.5367  6 Dy 3.09-3.26, 1 Tl 3.11
Tl: 0.0000 0.3705 0.2589  1 Tl 3.00, 6 Dy 3.15-3.30
Tl: 0.5000 0.5000 0.0000  2 Tl 3.11, 6 Dy 3.29-3.38
Tl: 0.0000 0.6295 0.7411  1 Tl 3.00, 6 Dy 3.15-3.30
Tl: 0.5000 0.7684 0.4633  6 Dy 3.09-3.26, 1 Tl 3.11
O: 0.0000 0.0000 0.0000  4 Dy 2.43

Output
- Uncorrected energy: -52.05 eV per formula unit
- D(E_F): 9.40 states/eV/f.u.
- Raw formation energy: -7.6 eV/f.u.
- M_tot: 0.00 μB/f.u.
- Mass density: 10577 kg/m³

2.
Entry from the Alexandria database: Cd4Sb5 after structural relaxation (GGA-PBE).

Lattice parameters (Å, degrees): 7.9461 7.9461 7.9461 93.56 93.56 151.16
Last column: nearest neighbours and their distance in Å.
Sites, in units of the cell vectors:
Cd: 0.6595 0.0000 0.6595  5 Cd 3.15-3.47, 4 Sb 3.28
Cd: 0.3405 0.0000 0.3405  5 Cd 3.15-3.47, 4 Sb 3.28
Cd: 0.0000 0.3405 0.3405  5 Cd 3.15-3.47, 4 Sb 3.28
Cd: 0.0000 0.6595 0.6595  5 Cd 3.15-3.47, 4 Sb 3.28
Sb: 0.0000 0.0000 0.0000  8 Sb 3.29
Sb: 0.6704 0.3296 0.0000  4 Sb 3.15-3.29, 4 Cd 3.28
Sb: 0.3296 0.6704 0.0000  4 Sb 3.15-3.29, 4 Cd 3.28
Sb: 0.3296 0.3296 0.6592  4 Sb 3.15-3.29, 4 Cd 3.28
Sb: 0.6704 0.6704 0.3408  4 Sb 3.15-3.29, 4 Cd 3.28

Output
- Uncorrected energy: -22.81 eV per formula unit
- D(E_F): 4.90 states/eV/f.u.
- Raw formation energy: 1.5 eV/f.u.
- E above lowest polymorph: 0 meV per atom
- M_tot: 0.00 μB/f.u.
- Mass density: 7499 kg/m³